[1]
The following is a DFT calculation (GGA-PBE) of Tb2Nd6SmHo3 after structural relaxation.

Properties
As for the spin magnetization: 0.00 Bohr magnetons per cell. The value obtained for the formation energy is 1.2 kJ/mol of atoms.

extended XYZ file:
```
12
Lattice="-4.6539 4.2107 -0.2687 0.9549 -3.9364 -4.8015 -6.0618 -7.8366 6.5846" Properties=species:S:1:pos:R:3 pbc="T T T"
Tb -0.9148 -1.2205 -3.2904
Tb -2.7842 1.4948 -1.7797
Nd -8.2425 -4.2984 1.8842
Nd -4.3010 -1.7663 -2.1471
Nd -1.5183 -3.2638 -0.3698
Nd -6.3709 -7.0170 0.3717
Nd -5.4599 -5.7959 3.6615
Nd -3.3899 -0.5452 1.1428
Sm 0.0000 0.0000 0.0000
Ho -3.0111 -6.4964 -0.7535
Ho -6.7497 -1.0658 2.2679
Ho -4.8804 -3.7811 0.7572
```



[2]
The following is a DFT calculation (GGA-PBE) of Sm10DyTm4 after structural relaxation.

Properties
As for the spin magnetization: 0.00 Bohr magnetons per cell. The value obtained for the formation energy is 67.6 kJ/mol of atoms.

extended XYZ file:
```
15
Lattice="7.0252 0.0000 3.1722 3.5126 8.6395 1.5861 -0.0429 0.0000 9.4601" Properties=species:S:1:pos:R:3 pbc="T T T"
Sm 3.4911 4.3198 6.3161
Sm 5.5814 2.5969 11.0430
Sm 0.6910 0.8719 3.1614
Sm 6.2981 7.7676 9.4740
Sm 8.4192 6.0426 4.7584
Sm 4.9134 6.0426 3.1753
Sm 7.0037 4.3198 7.9022
Sm 2.0756 2.5969 9.4600
Sm 4.1968 0.8719 4.7444
Sm 9.8039 7.7676 11.0570
Dy 0.0000 0.0000 0.0000
Tm 5.6030 6.9136 6.3218
Tm 7.6926 5.1837 11.0592
Tm 2.8023 3.4558 3.1591
Tm 4.8919 1.7260 7.8966
```



[3]
The following is a DFT calculation (GGA-PBE) of Pm3Ho2Tm8 after structural relaxation.

Properties
As for the spin magnetization: 0.00 Bohr magnetons per cell. The energy above the lowest structure with this stoichiometry comes out at 0.000 eV/atom. The value obtained for the formation energy is 2.4 kJ/mol of atoms.

extended XYZ file:
```
13
Lattice="4.9268 0.7649 0.3086 -1.2625 6.2384 4.6799 -3.1668 -0.8598 12.2928" Properties=species:S:1:pos:R:3 pbc="T T T"
Pm 0.0000 0.0000 0.0000
Pm 2.1198 1.7726 2.1929
Pm -1.6223 4.3709 15.0884
Ho 1.3069 3.9717 9.7302
Ho -0.8094 2.1718 7.5511
Tm -0.6877 2.7780 4.0905
Tm 1.1852 3.3655 13.1908
Tm -1.3792 5.5887 8.1803
Tm 1.8767 0.5548 9.1010
Tm -1.5017 4.9915 11.6018
Tm -0.9343 1.5911 10.9954
Tm 1.4318 4.5524 6.2859
Tm 1.9992 1.1520 5.6795
```



[4]
The following is a DFT calculation (GGA-PBE) of KMn2Fe after structural relaxation.

Properties
As for the spin magnetization: 9.92 Bohr magnetons per cell. The energy above the lowest structure with this stoichiometry comes out at 0.141 eV/atom. The value obtained for the formation energy is 81.1 kJ/mol of atoms.

extended XYZ file:
```
4
Lattice="4.5862 0.0565 -0.1617 3.7285 2.6711 -0.1617 0.7124 0.2337 7.1299" Properties=species:S:1:pos:R:3 pbc="T T T"
Fe 4.4520 1.4605 4.2120
K 2.2666 0.7436 1.7790
Mn 0.7658 0.2512 6.3964
Mn 6.7685 2.2204 4.9522
```